# BeTcGe

Crystalline BeTcGe at its relaxed geometry (GGA-PBE, OQMD).

Cell lengths 4.0126, 4.0126, 4.0126 Å; angles 60.00, 60.00, 60.00 degrees
With the nearest neighbours (Å) after each atom.
Positions (direct):
Be (0.0000, 0.0000, 0.0000)  4 Tc 2.46
Tc (0.2500, 0.2500, 0.2500)  4 Ge 2.46, 4 Be 2.46
Ge (0.5000, 0.5000, 0.5000)  4 Tc 2.46

Output
space group: F-43m, No. 216
DFT total energy: -5.8673 eV per atom
relative energy among the computed polymorphs: 0.141 eV/atom